--- i ---
This record from the Alexandria database describes a geometry-optimized SmAgPd4 structure. The functional is GGA-PBE.

Cell lengths 7.6018, 7.6018, 7.6018 Å; angles 90.00, 90.00, 90.00 degrees
With the nearest neighbours (Å) after each atom.
Space group F-43m (No. 216)
Inequivalent atoms, fractional coordinates:
Sm1 0.0000 0.0000 0.0000 (multiplicity 4)  12 Pd 3.15, 4 Ag 3.29
Ag1 0.2500 0.2500 0.7500 (multiplicity 4)  12 Pd 3.15, 4 Sm 3.29
Pd1 0.1247 0.1247 0.3753 (multiplicity 16)  6 Pd 2.68-2.69

Values from the calculation:
Its volume is 439 Å³/cell. For the density of states at the Fermi level, the calculation gives 24.3 states/eV per cell. The calculation puts the size of the total moment at 0.000 μB/atom.



--- ii ---
This record from the Alexandria database describes a geometry-optimized SmAgPd4 structure. The functional is GGA-PBE.

Cell lengths 11.6778, 4.2823, 4.2663 Å; angles 90.00, 90.17, 90.00 degrees
With the nearest neighbours (Å) after each atom.
Space group C2/m (No. 12)
Inequivalent atoms, fractional coordinates:
Sm1 0.0000 0.0000 0.0000 (multiplicity 2)  8 Pd 2.91-2.94, 4 Ag 3.02
Ag1 0.0000 0.5000 0.5000 (multiplicity 2)  8 Pd 2.90-2.94, 4 Sm 3.02
Pd1 0.1690 0.5000 0.0000 (multiplicity 4)  8 Pd 2.82-3.02, 2 Ag 2.90-2.91, 2 Sm 2.91
Pd2 0.1726 0.0000 0.4997 (multiplicity 4)  8 Pd 2.80-3.02, 2 Sm 2.93-2.94, 2 Ag 2.94

Values from the calculation:
Its volume is 213 Å³/cell. For the density of states at the Fermi level, the calculation gives 3.5 states/eV per cell. The calculation puts the size of the total moment at 0.000 μB/atom.



Most stable = i